The following is a DFT calculation (GGA-PBE) of a relaxed RbMnTeCl6 crystal.

a b c (Å): 7.327 6.817 7.321
angles (deg): 87.95 86.17 57.51
Element x y z (fractional)
Rb1 0.005 0.990 0.000
Mn1 0.684 0.632 0.500
Te1 0.333 0.333 0.500
Cl1 0.955 0.393 0.270
Cl2 0.371 0.992 0.694
Cl3 0.652 0.392 0.729
Cl4 0.987 0.637 0.687
Cl5 0.376 0.637 0.313
Cl6 0.636 0.993 0.306

Summary:
* calculated volume: 307.7 Å³/cell
* DOS at the Fermi energy: 0.208 states/eV/f.u.
* total DFT energy (no corrections): -33.22 eV for the cell shown
* magnetic moment: 6.03 μB per formula unit

The following is a DFT calculation (GGA-PBE) of a relaxed CsZr2Cu2S6 crystal.

a b c (Å): 7.051 7.696 7.426
angles (deg): 121.25 86.95 63.61
Element x y z (fractional)
Cs1 0.500 0.000 0.500
Zr1 0.817 0.330 0.843
Zr2 0.183 0.670 0.157
Cu1 0.199 0.722 0.785
Cu2 0.801 0.278 0.215
S1 0.444 0.717 0.964
S2 0.993 0.410 0.135
S3 0.107 0.856 0.586
S4 0.007 0.590 0.865
S5 0.893 0.144 0.414
S6 0.556 0.283 0.036

Summary:
* calculated volume: 286.6 Å³/cell
* DOS at the Fermi energy: 4.204 states/eV/f.u.
* total DFT energy (no corrections): -61.82 eV for the cell shown
* magnetic moment: 0.00 μB per formula unit

The following is a DFT calculation (GGA-PBE) of a relaxed HfScBiO6 crystal.

a b c (Å): 5.434 5.434 9.250
angles (deg): 90.00 90.00 120.00
Element x y z (fractional)
Hf1 0.333 0.667 0.250
Hf2 0.667 0.333 0.750
Sc1 0.000 0.000 0.000
Sc2 0.000 0.000 0.500
Bi1 0.667 0.333 0.250
Bi2 0.333 0.667 0.750
O1 0.660 0.667 0.128
O2 0.007 0.340 0.128
O3 0.340 0.007 0.628
O4 0.993 0.660 0.872
O5 0.333 0.340 0.372
O6 0.007 0.667 0.372
O7 0.667 0.007 0.872
O8 0.660 0.993 0.372
O9 0.993 0.333 0.628
O10 0.333 0.993 0.128
O11 0.667 0.660 0.628
O12 0.340 0.333 0.872

Summary:
* calculated volume: 236.6 Å³/cell
* total DFT energy (no corrections): -142.13 eV for the cell shown
* magnetic moment: 0.00 μB per formula unit

The following is a DFT calculation (GGA-PBE) of a relaxed BeTc2Ir crystal.

a b c (Å): 8.308 8.308 8.308
angles (deg): 19.02 19.02 19.02
Element x y z (fractional)
Be1 0.498 0.498 0.498
Ir1 0.759 0.759 0.759
Tc1 0.998 0.998 0.998
Tc2 0.245 0.245 0.245

Summary:
* calculated volume: 53.2 Å³/cell
* DOS at the Fermi energy: 3.725 states/eV/f.u.
* DFT formation energy: -0.056 eV per atom
* total DFT energy (no corrections): -33.54 eV for the cell shown
* magnetic moment: 0.00 μB per formula unit

The following is a DFT calculation (GGA-PBE) of a relaxed CdHg2BO4 crystal.

a b c (Å): 5.173 5.173 5.544
angles (deg): 117.80 117.80 90.01
Element x y z (fractional)
Cd1 0.986 0.486 0.972
Hg1 0.486 0.986 0.972
Hg2 0.236 0.236 0.472
B1 0.736 0.736 0.472
O1 0.681 0.666 0.681
O2 0.806 0.472 0.263
O3 0.457 0.791 0.263
O4 0.000 0.015 0.681

Summary:
* calculated volume: 111.5 Å³/cell
* DOS at the Fermi energy: 1.949 states/eV/f.u.
* total DFT energy (no corrections): -36.00 eV for the cell shown
* magnetic moment: 0.00 μB per formula unit

The following is a DFT calculation (GGA-PBE) of a relaxed Sm7Er4Sc crystal.

a b c (Å): 7.176 9.492 8.846
angles (deg): 81.11 90.03 40.96
Element x y z (fractional)
Sm1 0.750 0.501 0.001
Sm2 0.250 0.499 0.999
Sm3 0.969 0.279 0.667
Sm4 0.031 0.721 0.333
Sm5 0.218 0.782 0.668
Sm6 0.500 0.000 0.000
Sm7 0.782 0.218 0.332
Er1 0.526 0.723 0.331
Er2 0.474 0.277 0.669
Er3 0.722 0.778 0.664
Er4 0.278 0.222 0.336
Sc1 0.000 0.000 0.000

Summary:
* calculated volume: 383.8 Å³/cell
* DOS at the Fermi energy: 16.682 states/eV/f.u.
* DFT formation energy: 0.015 eV per atom
* total DFT energy (no corrections): -57.43 eV for the cell shown
* magnetic moment: 0.00 μB per formula unit

The following is a DFT calculation (GGA-PBE) of a relaxed Pr12Sm2Sc crystal.

a b c (Å): 6.670 6.670 25.264
angles (deg): 90.00 90.00 90.00
Element x y z (fractional)
Pr1 0.500 0.500 0.791
Pr2 0.000 0.000 0.791
Pr3 0.688 0.812 0.894
Pr4 0.188 0.688 0.894
Pr5 0.000 0.000 0.334
Pr6 0.312 0.812 0.106
Pr7 0.832 0.332 0.563
Pr8 0.500 0.500 0.334
Pr9 0.312 0.188 0.894
Pr10 0.812 0.688 0.106
Pr11 0.332 0.168 0.563
Pr12 0.668 0.168 0.437
Pr13 0.000 0.000 0.666
Pr14 0.168 0.332 0.437
Pr15 0.188 0.312 0.106
Pr16 0.832 0.668 0.437
Pr17 0.668 0.832 0.563
Pr18 0.000 0.000 0.209
Pr19 0.168 0.668 0.563
Pr20 0.500 0.500 0.666
Pr21 0.812 0.312 0.894
Pr22 0.500 0.500 0.209
Pr23 0.332 0.832 0.437
Pr24 0.688 0.188 0.106
Sm1 0.500 0.000 0.264
Sm2 0.000 0.500 0.264
Sm3 0.000 0.500 0.736
Sm4 0.500 0.000 0.736
Sc1 0.500 0.000 0.000
Sc2 0.000 0.500 0.000

Summary:
* calculated volume: 1124.0 Å³/cell
* DOS at the Fermi energy: 20.205 states/eV/f.u.
* DFT formation energy: 0.328 eV per atom
* total DFT energy (no corrections): -136.40 eV for the cell shown
* magnetic moment: 0.00 μB per formula unit

The following is a DFT calculation (GGA-PBE) of a relaxed LaCd2Pb crystal.

a b c (Å): 4.703 4.703 5.025
angles (deg): 90.00 90.00 90.00
Element x y z (fractional)
Pb1 0.000 0.500 0.500
Cd1 0.000 0.000 0.000
Cd2 0.500 0.500 0.000
La1 0.500 0.000 0.500

Summary:
* calculated volume: 111.1 Å³/cell
* DOS at the Fermi energy: 2.255 states/eV/f.u.
* DFT formation energy: -0.382 eV per atom
* total DFT energy (no corrections): -11.99 eV for the cell shown
* magnetic moment: 0.00 μB per formula unit

The following is a DFT calculation (GGA-PBE) of a relaxed NdTh2P4 crystal.

a b c (Å): 4.222 7.325 11.947
angles (deg): 90.00 90.00 106.75
Element x y z (fractional)
Nd1 0.600 0.200 0.750
Nd2 0.400 0.800 0.250
Th1 0.133 0.266 0.440
Th2 0.867 0.734 0.940
Th3 0.133 0.266 0.060
Th4 0.867 0.734 0.560
P1 0.764 0.527 0.153
P2 0.764 0.527 0.347
P3 0.236 0.473 0.847
P4 0.236 0.473 0.653
P5 0.968 0.936 0.750
P6 0.032 0.064 0.250
P7 0.500 0.000 0.000
P8 0.500 0.000 0.500

Summary:
* calculated volume: 353.8 Å³/cell
* DOS at the Fermi energy: 2.923 states/eV/f.u.
* DFT formation energy: -1.136 eV per atom
* total DFT energy (no corrections): -98.40 eV for the cell shown
* magnetic moment: 0.00 μB per formula unit

The following is a DFT calculation (GGA-PBE) of a relaxed NpFeI6 crystal.

a b c (Å): 7.892 7.892 6.930
angles (deg): 90.13 90.13 119.71
Element x y z (fractional)
Np1 0.000 0.000 0.500
Fe1 0.000 0.000 0.000
I1 0.297 0.999 0.231
I2 0.999 0.297 0.231
I3 0.001 0.703 0.769
I4 0.703 0.001 0.769
I5 0.296 0.296 0.771
I6 0.704 0.704 0.229

Summary:
* calculated volume: 374.9 Å³/cell
* DOS at the Fermi energy: 5.671 states/eV/f.u.
* total DFT energy (no corrections): -34.95 eV for the cell shown
* magnetic moment: 7.06 μB per formula unit

The following is a DFT calculation (GGA-PBE) of a relaxed AlSnSCl2 crystal.

a b c (Å): 4.792 4.792 4.817
angles (deg): 90.00 90.00 90.00
Element x y z (fractional)
S1 0.000 0.000 0.500
Al1 0.000 0.000 0.000
Sn1 0.500 0.500 0.500
Cl1 0.000 0.500 0.000
Cl2 0.500 0.000 0.000

Summary:
* calculated volume: 110.6 Å³/cell
* DOS at the Fermi energy: 2.263 states/eV/f.u.
* total DFT energy (no corrections): -18.54 eV for the cell shown
* magnetic moment: 0.00 μB per formula unit

The following is a DFT calculation (GGA-PBE) of a relaxed Zn4CdPt15 crystal.

a b c (Å): 3.942 3.942 19.886
angles (deg): 90.00 90.00 90.00
Element x y z (fractional)
Zn1 0.000 0.000 0.204
Zn2 0.000 0.000 0.401
Zn3 0.000 0.000 0.599
Zn4 0.000 0.000 0.796
Cd1 0.000 0.000 0.000
Pt1 0.500 0.500 0.000
Pt2 0.500 0.500 0.204
Pt3 0.500 0.500 0.401
Pt4 0.500 0.500 0.599
Pt5 0.500 0.500 0.796
Pt6 0.500 0.000 0.106
Pt7 0.500 0.000 0.303
Pt8 0.500 0.000 0.500
Pt9 0.500 0.000 0.697
Pt10 0.500 0.000 0.894
Pt11 0.000 0.500 0.106
Pt12 0.000 0.500 0.303
Pt13 0.000 0.500 0.500
Pt14 0.000 0.500 0.697
Pt15 0.000 0.500 0.894

Summary:
* calculated volume: 309.0 Å³/cell
* DOS at the Fermi energy: 20.631 states/eV/f.u.
* DFT formation energy: -0.298 eV per atom
* total DFT energy (no corrections): -102.58 eV for the cell shown
* magnetic moment: 0.00 μB per formula unit

The following is a DFT calculation (GGA-PBE) of a relaxed CdCo2As crystal.

a b c (Å): 4.242 2.909 5.124
angles (deg): 73.43 90.00 90.00
Element x y z (fractional)
As1 0.000 0.347 0.429
Cd1 0.500 0.684 0.756
Co1 0.000 0.038 0.050
Co2 0.500 0.431 0.265

Summary:
* calculated volume: 60.6 Å³/cell
* DOS at the Fermi energy: 5.241 states/eV/f.u.
* DFT formation energy: 0.245 eV per atom
* total DFT energy (no corrections): -18.80 eV for the cell shown
* magnetic moment: 1.65 μB per formula unit

The following is a DFT calculation (GGA-PBE) of a relaxed Ce2PuSnN crystal.

a b c (Å): 4.790 4.928 4.928
angles (deg): 90.00 90.00 90.00
Element x y z (fractional)
Ce1 0.000 0.000 0.500
Ce2 0.000 0.500 0.000
Pu1 0.500 0.000 0.000
Sn1 0.500 0.500 0.500
N1 0.000 0.000 0.000

Summary:
* calculated volume: 116.3 Å³/cell
* DOS at the Fermi energy: 11.337 states/eV/f.u.
* total DFT energy (no corrections): -42.93 eV for the cell shown
* magnetic moment: 7.09 μB per formula unit

The following is a DFT calculation (GGA-PBE) of a relaxed YTiAu2I crystal.

a b c (Å): 5.472 5.795 5.472
angles (deg): 90.00 90.00 90.00
Element x y z (fractional)
I1 0.000 0.500 0.000
Y1 0.000 0.000 0.000
Au1 0.000 0.000 0.500
Au2 0.500 0.000 0.000
Ti1 0.500 0.500 0.500

Summary:
* calculated volume: 173.5 Å³/cell
* DOS at the Fermi energy: 4.889 states/eV/f.u.
* total DFT energy (no corrections): -19.99 eV for the cell shown
* magnetic moment: 3.04 μB per formula unit

The following is a DFT calculation (GGA-PBE) of a relaxed LiTm2Au3 crystal.

a b c (Å): 4.912 4.912 11.902
angles (deg): 90.00 90.00 120.00
Element x y z (fractional)
Li1 0.333 0.667 0.669
Li2 0.667 0.333 0.331
Tm1 0.000 0.000 0.500
Tm2 0.333 0.667 0.183
Tm3 0.667 0.333 0.817
Tm4 0.000 0.000 0.000
Au1 0.333 0.667 0.431
Au2 0.667 0.333 0.077
Au3 0.000 0.000 0.750
Au4 0.000 0.000 0.250
Au5 0.333 0.667 0.923
Au6 0.667 0.333 0.569

Summary:
* calculated volume: 248.7 Å³/cell
* DOS at the Fermi energy: 3.125 states/eV/f.u.
* DFT formation energy: -0.780 eV per atom
* total DFT energy (no corrections): -50.74 eV for the cell shown
* magnetic moment: 0.00 μB per formula unit

The following is a DFT calculation (GGA-PBE) of a relaxed NiHPd2 crystal.

a b c (Å): 4.083 4.083 4.083
angles (deg): 60.00 60.00 60.00
Element x y z (fractional)
Ni1 0.500 0.500 0.500
Pd1 0.250 0.250 0.250
Pd2 0.750 0.750 0.750
H1 0.000 0.000 0.000

Summary:
* calculated volume: 48.1 Å³/cell
* DOS at the Fermi energy: 4.692 states/eV/f.u.
* total DFT energy (no corrections): -18.01 eV for the cell shown
* magnetic moment: 1.00 μB per formula unit

The following is a DFT calculation (GGA-PBE) of a relaxed BaBiSb crystal.

a b c (Å): 5.362 6.990 6.958
angles (deg): 90.02 112.66 90.00
Element x y z (fractional)
Ba1 0.685 0.145 0.782
Ba2 0.976 0.645 0.366
Bi1 0.279 0.645 0.972
Bi2 0.382 0.145 0.176
Sb1 0.669 0.645 0.751
Sb2 0.992 0.145 0.397

Summary:
* calculated volume: 240.7 Å³/cell
* DOS at the Fermi energy: 1.542 states/eV/f.u.
* total DFT energy (no corrections): -23.51 eV for the cell shown
* magnetic moment: 0.00 μB per formula unit

The following is a DFT calculation (GGA-PBE) of a relaxed KLiNiSn2 crystal.

a b c (Å): 4.967 4.967 5.220
angles (deg): 90.00 90.00 90.00
Element x y z (fractional)
Ni1 0.000 0.000 0.000
K1 0.500 0.500 0.500
Sn1 0.000 0.500 0.000
Sn2 0.500 0.000 0.000
Li1 0.000 0.000 0.500

Summary:
* calculated volume: 128.8 Å³/cell
* DOS at the Fermi energy: 3.872 states/eV/f.u.
* DFT formation energy: -0.114 eV per atom
* total DFT energy (no corrections): -17.37 eV for the cell shown
* magnetic moment: 0.00 μB per formula unit

The following is a DFT calculation (GGA-PBE) of a relaxed Ca3ZrCo crystal.

a b c (Å): 5.598 5.598 5.598
angles (deg): 90.00 90.00 90.00
Element x y z (fractional)
Ca1 0.000 0.500 0.000
Ca2 0.000 0.000 0.500
Ca3 0.500 0.000 0.000
Co1 0.500 0.500 0.500
Zr1 0.000 0.000 0.000

Summary:
* calculated volume: 175.4 Å³/cell
* DOS at the Fermi energy: 14.842 states/eV/f.u.
* DFT formation energy: 1.612 eV per atom
* total DFT energy (no corrections): -13.60 eV for the cell shown
* magnetic moment: 1.46 μB per formula unit